No. 1
Cu2BiTeIr: relaxed, PBE-GGA.

Uncorrected energy = -16.66 eV per cell
V = 28.082 Å³/atom
Formation energy from raw total energies = 1.48 eV per atom

Cell: 4.7389 4.7389 6.2524 Å, 90.00 90.00 90.00°
Space group P4/mmm (No. 123)
Symmetry-distinct sites (fractional):
Cu 0.0000 0.5000 0.0000 x2
Bi 0.0000 0.0000 0.0000 x1
Te 0.0000 0.0000 0.5000 x1
Ir 0.5000 0.5000 0.5000 x1

---

No. 2
Y2CuBiIr: relaxed, PBE-GGA.

Uncorrected energy = -27.86 eV per cell
V = 25.805 Å³/atom
Formation energy = 381 meV/atom

Cell: 5.2187 5.2187 4.7374 Å, 90.00 90.00 90.00°
Space group P4/mmm (No. 123)
Symmetry-distinct sites (fractional):
Y 0.0000 0.5000 0.0000 x2
Cu 0.0000 0.0000 0.0000 x1
Bi 0.0000 0.0000 0.5000 x1
Ir 0.5000 0.5000 0.5000 x1

---

No. 3
ZrCu2BiIr: relaxed, PBE-GGA.

Uncorrected energy = -21.10 eV per cell
V = 24.684 Å³/atom
Formation energy = 1677 meV/atom

Cell: 4.7224 4.7224 5.5343 Å, 90.00 90.00 90.00°
Space group P4/mmm (No. 123)
Symmetry-distinct sites (fractional):
Zr 0.0000 0.0000 0.0000 x1
Cu 0.0000 0.5000 0.0000 x2
Bi 0.0000 0.0000 0.5000 x1
Ir 0.5000 0.5000 0.5000 x1

---

- Which formula does entry 1 have?
  Cu2BiTeIr

---

- uncorrected energy of number 3 (ZrCu2BiIr)?
  -21.10 eV per cell

---

- Among the records above, which one has the highest uncorrected energy?
  Cu2BiTeIr

---

- What is the formula in the first record?
  Cu2BiTeIr